1.
Compound: PmIn3Cl6
Source: the Open Quantum Materials Database
Functional: PBE
Structure: relaxed

Geometry as extended XYZ:
```
20
Lattice="7.363 0.000 0.000 0.000 8.350 0.000 -6.642 0.000 10.791" Properties=species:S:1:pos:R:3 pbc="T T T"
Cl 2.341 2.824 0.397
Cl 1.256 6.407 0.942
Cl -0.867 3.561 2.512
Cl 4.909 7.736 2.884
Cl 2.786 2.232 4.454
Cl 1.701 6.999 4.999
Cl -0.980 1.351 5.792
Cl -2.065 6.117 6.337
Cl -4.188 0.614 7.908
Cl 1.588 4.789 8.279
Cl -0.535 1.943 9.850
Cl -1.620 5.526 10.395
In 3.682 0.000 0.000
In 3.661 4.776 2.446
In 0.381 0.601 2.949
In 0.361 4.175 5.396
In 0.340 7.749 7.842
In -2.940 3.574 8.345
Pm 0.000 4.175 0.000
Pm -3.321 0.000 5.396
```

Values from the calculation:
Size of the total moment   0.00 Bohr magnetons per cell

2.
Compound: PuIn2Cl6
Source: the Open Quantum Materials Database
Functional: PBE
Structure: relaxed

Geometry as extended XYZ:
```
9
Lattice="-3.609 3.609 5.112 3.609 -3.609 5.112 3.609 3.609 -5.112" Properties=species:S:1:pos:R:3 pbc="T T T"
Cl 0.000 0.000 2.580
Cl -1.785 1.785 5.112
Cl 1.785 -1.785 5.112
Cl 0.000 0.000 7.643
Cl 1.785 1.785 5.112
Cl 1.824 1.824 0.000
In 0.000 3.609 2.556
In 3.609 0.000 2.556
Pu 0.000 0.000 0.000
```

Values from the calculation:
Size of the total moment   4.00 Bohr magnetons per cell

3.
Compound: Rb2InTcCl6
Source: the Open Quantum Materials Database
Functional: PBE
Structure: relaxed

Geometry as extended XYZ:
```
10
Lattice="3.186 -5.759 3.662 -0.682 -0.545 7.480 -4.308 -5.397 3.005" Properties=species:S:1:pos:R:3 pbc="T T T"
Cl -0.782 -2.952 7.296
Cl 0.959 -6.098 9.296
Cl 1.331 -5.800 5.209
Cl -3.135 -5.901 8.938
Cl -1.022 -8.749 6.851
Cl -2.763 -5.603 4.851
In -0.902 -5.850 7.074
Rb -0.451 -2.925 3.537
Rb -1.353 -8.776 10.610
Tc 0.000 0.000 0.000
```

Values from the calculation:
Size of the total moment   2.00 Bohr magnetons per cell

4.
Compound: In3ReCl4
Source: the Open Quantum Materials Database
Functional: PBE
Structure: relaxed

Geometry as extended XYZ:
```
8
Lattice="1.622 8.067 0.455 -5.220 3.528 5.312 4.868 -6.615 0.675" Properties=species:S:1:pos:R:3 pbc="T T T"
Cl -0.171 8.331 2.063
Cl -4.175 5.675 4.904
Cl 1.648 -1.545 0.877
Cl 0.371 4.113 4.366
In -1.799 5.797 2.884
In 2.346 3.624 2.007
In -1.076 1.355 4.436
Re 0.000 0.000 0.000
```

Values from the calculation:
Size of the total moment   4.08 Bohr magnetons per cell

5.
Compound: In2TcCl6
Source: the Open Quantum Materials Database
Functional: PBE
Structure: relaxed

Geometry as extended XYZ:
```
9
Lattice="4.387 5.407 -0.602 -3.582 3.465 4.900 2.487 -6.391 1.346" Properties=species:S:1:pos:R:3 pbc="T T T"
Cl 0.193 2.121 1.028
Cl 2.479 4.942 0.715
Cl -1.674 3.930 3.582
Cl 0.613 6.750 3.270
Cl 1.384 -0.936 1.674
Cl 1.909 3.417 3.970
In 3.639 1.726 1.446
In -0.346 0.755 4.198
Tc 0.000 0.000 0.000
```

Values from the calculation:
Size of the total moment   3.00 Bohr magnetons per cell

6.
Compound: Tl2ZnInCl6
Source: the Open Quantum Materials Database
Functional: PBE
Structure: relaxed

Geometry as extended XYZ:
```
20
Lattice="7.119 0.000 0.000 0.000 7.354 0.000 -7.096 0.000 10.313" Properties=species:S:1:pos:R:3 pbc="T T T"
Cl 1.560 5.136 0.274
Cl 2.146 1.633 0.287
Cl 3.944 3.717 2.468
Cl -0.373 0.040 2.689
Cl 1.426 5.310 4.870
Cl 2.012 1.459 4.882
Cl -1.988 5.895 5.431
Cl -1.402 2.044 5.443
Cl 0.397 7.314 7.624
Cl -3.921 3.637 7.846
Cl -2.122 5.721 10.027
Cl -1.536 2.218 10.039
In 0.000 0.000 0.000
In -3.548 3.677 5.157
Tl 3.461 6.950 2.576
Tl 0.110 3.273 2.580
Tl -0.087 4.081 7.733
Tl -3.437 0.404 7.737
Zn 3.560 3.677 0.000
Zn 0.012 0.000 5.157
```

7.
Compound: ZnIn3Cl6
Source: the Open Quantum Materials Database
Functional: PBE
Structure: relaxed

Geometry as extended XYZ:
```
10
Lattice="0.000 5.142 5.142 5.142 0.000 5.142 5.142 5.142 0.000" Properties=species:S:1:pos:R:3 pbc="T T T"
Cl 2.473 5.142 5.142
Cl 5.142 2.473 5.142
Cl 5.142 5.142 7.810
Cl 5.142 5.142 2.473
Cl 5.142 7.810 5.142
Cl 7.810 5.142 5.142
In 2.571 2.571 2.571
In 5.142 5.142 5.142
In 7.713 7.713 7.713
Zn 0.000 0.000 0.000
```

8.
Compound: ZrIn2Cl6
Source: the Open Quantum Materials Database
Functional: PBE
Structure: relaxed

Geometry as extended XYZ:
```
18
Lattice="7.077 0.000 0.000 0.000 7.077 0.000 0.000 0.000 10.468" Properties=species:S:1:pos:R:3 pbc="T T T"
Cl 2.104 1.321 0.000
Cl 5.757 2.104 0.000
Cl 1.321 4.974 0.000
Cl 4.974 5.757 0.000
Cl 0.000 0.000 2.494
Cl 3.539 3.539 2.740
Cl 2.218 1.435 5.234
Cl 5.642 2.218 5.234
Cl 1.435 4.859 5.234
Cl 4.859 5.642 5.234
Cl 3.539 3.539 7.728
Cl 0.000 0.000 7.974
In 3.539 0.000 2.617
In 0.000 3.539 2.617
In 3.539 0.000 7.851
In 0.000 3.539 7.851
Zr 0.000 0.000 0.000
Zr 3.539 3.539 5.234
```

Values from the calculation:
Size of the total moment   0.00 Bohr magnetons per cell

Number 1: final energy -76.3 eV per cell, theoretical density 3.5 g/cm³, volume 33.2 A^3/atom. Number 2: final energy -42.5 eV per cell, theoretical density 4.3 g/cm³, volume 29.6 A^3/atom. Number 3: final energy -38.0 eV per cell, theoretical density 3.3 g/cm³, volume 30.2 A^3/atom. Number 4: final energy -27.7 eV per cell, theoretical density 3.7 g/cm³, volume 38.2 A^3/atom. Number 5: final energy -34.1 eV per cell, theoretical density 3.7 g/cm³, volume 26.8 A^3/atom. Number 6: final energy -59.3 eV per cell, theoretical density 4.9 g/cm³, volume 27.0 A^3/atom. Number 7: final energy -29.3 eV per cell, theoretical density 3.8 g/cm³, volume 27.2 A^3/atom. Number 8: final energy -75.2 eV per cell, theoretical density 3.4 g/cm³, volume 29.1 A^3/atom.